CoP5: optimized geometry, PBE.

Lattice parameters (Å, degrees): 5.566 5.566 4.515 90.00 90.00 133.36
Element x y z (fractional)
P 0.105 0.895 0.000
P 0.895 0.105 0.000
P 0.000 0.000 0.500
P 0.394 0.606 0.500
P 0.606 0.394 0.500
Co 0.500 0.500 0.000

Calculated values
As for the density of states at the Fermi level: 4.0 states/eV/f.u. As for the distance to the lowest polymorph of the same formula: 394 meV/atom. The value obtained for the calculated formation energy is 381 meV per atom.